# AcCeTc

AcCeTc after structural relaxation (PBE, the Alexandria database).

Results
Magnetic moment: 0.000 μB per atom
Total DFT energy (no corrections): -81.56 eV/cell
Energy relative to the elements: 0.01 eV per atom
Crystal system: monoclinic

Cell lengths 7.0420, 6.7778, 7.5688 Å; angles 90.00, 100.33, 90.00 degrees
Closest atoms and distances in Å follow each position.
Space group P2_1/c (No. 14)
Inequivalent atoms, fractional coordinates:
Ac 0.1482 0.1700 0.3492  3 Tc 3.19-3.41
Ce 0.3383 0.6820 0.5123  1 Tc 2.32
Tc 0.4731 0.0601 0.7272  1 Ce 2.32

# Ba4HoBi3O12

Ba4HoBi3O12 after structural relaxation (PBE, the Alexandria database).

Results
Magnetic moment: 0.000 μB per atom
Total DFT energy (no corrections): -250.04 eV/cell
Uncorrected formation energy: -2.081 eV/atom
Crystal system: cubic

Cell lengths 8.7846, 8.7846, 8.7846 Å; angles 90.00, 90.00, 90.00 degrees
Closest atoms and distances in Å follow each position.
Space group Im-3m (No. 229)
Inequivalent atoms, fractional coordinates:
Ba 0.2500 0.2500 0.2500  12 O 3.11
Ho 0.0000 0.0000 0.0000  6 O 2.22
Bi 0.0000 0.0000 0.5000  6 O 2.17-2.20
O 0.0000 0.0000 0.2528  1 Bi 2.17, 1 Ho 2.22
O 0.0000 0.2500 0.5000  2 Bi 2.20

# Ho6ErTm12

Ho6ErTm12 after structural relaxation (PBE, the Alexandria database).

Results
Magnetic moment: 0.000 μB per atom
Total DFT energy (no corrections): -246.26 eV/cell
Energy relative to the elements: 0.19 eV per atom
Crystal system: trigonal

Cell lengths 12.0572, 12.0572, 14.1321 Å; angles 90.00, 90.00, 120.00 degrees
Closest atoms and distances in Å follow each position.
Space group R-3 (No. 148, hexagonal axes)
Inequivalent atoms, fractional coordinates:
Ho 0.0303 0.5822 0.2176  7 Tm 3.26-3.57, 1 Er 3.34, 2 Ho 3.57
Er 0.0000 0.0000 0.5000  6 Ho 3.34, 6 Tm 3.42
Tm 0.0566 0.8722 0.3022  4 Tm 3.22-3.42, 1 Er 3.42, 4 Ho 3.46-3.57
Tm 0.0719 0.1969 0.9047  6 Tm 3.22-3.60, 3 Ho 3.26-3.49